1.
Ce2PaGa: optimized geometry, PBE. Values from VASP.

DFT total energy, eV per atom: -6.27
Total magnetic moment, μB per cell: 0.00
Formation energy, meV per atom: -170
E above lowest polymorph, meV per atom: 0
SG: P4/mmm (123)

Cell and atoms, written as Quantum ESPRESSO input:
```
&SYSTEM
  ibrav = 0, nat = 4, ntyp = 3
/
ATOMIC_SPECIES
Pa 231.04 Pa.upf
Ga 69.72 Ga.upf
Ce 140.12 Ce.upf
CELL_PARAMETERS angstrom
3.153 0.000 0.000
0.000 3.153 0.000
0.000 0.000 9.601
ATOMIC_POSITIONS angstrom
Pa 1.576 1.576 4.801
Ga 1.576 1.576 0.000
Ce 0.000 0.000 7.340
Ce 0.000 0.000 2.261
```

***

2.
Ce2PaGa: optimized geometry, PBE. Values from VASP.

DFT total energy, eV per atom: -6.25
Total magnetic moment, μB per cell: 0.99
Formation energy, meV per atom: -150
E above lowest polymorph, meV per atom: 20
SG: P4/mmm (123)

Cell and atoms, written as Quantum ESPRESSO input:
```
&SYSTEM
  ibrav = 0, nat = 4, ntyp = 3
/
ATOMIC_SPECIES
Pa 231.04 Pa.upf
Ga 69.72 Ga.upf
Ce 140.12 Ce.upf
CELL_PARAMETERS angstrom
-3.686 -2.351 -1.344
2.702 -3.047 -2.081
0.174 -2.471 3.845
ATOMIC_POSITIONS angstrom
Pa -0.405 -3.934 0.210
Ga -1.843 -1.176 -0.672
Ce 0.087 -1.235 1.922
Ce 1.351 -1.524 -1.040
```